Material: Ba2Sn2Pb
Method: DFT, PBE-GGA
State: relaxed

The space group is P4/mbm (No. 127) and the conventional cell measures 8.418, 8.418 and 5.323 Å, with angles of 90.00, 90.00 and 90.00 degrees. The asymmetric unit holds Ba at (0.176, 0.324, 0.000), Sn at (0.123, 0.623, 0.500) and Pb at (0.000, 0.000, 0.500).

The calculation puts the formation energy from the elements at -0.564 eV per atom. Its relative energy among the computed polymorphs is 0.0000 eV per atom.